1.
## HoZn4Pt4 (PBE)

Data for a relaxed structure of HoZn4Pt4.

Properties
The total energy is -39.02 eV per formula unit.

```
data_HoZn4Pt4
_space_group_name_H-M_alt 'P 1'
_space_group_IT_number 1
_space_group_name_Hall 'P 1'
_cell_length_a 5.7877
_cell_length_b 5.7877
_cell_length_c 9.0159
_cell_angle_alpha 90.00
_cell_angle_beta 90.00
_cell_angle_gamma 90.00
loop_
_atom_site_label
_atom_site_type_symbol
_atom_site_fract_x
_atom_site_fract_y
_atom_site_fract_z
_atom_site_occupancy
Ho1 Ho 0.0000 0.0000 0.0000 1
Ho2 Ho 0.5000 0.5000 0.5000 1
Zn1 Zn 0.2205 0.5000 0.9266 1
Zn2 Zn 0.7795 0.5000 0.9266 1
Zn3 Zn 0.5000 0.7795 0.0734 1
Zn4 Zn 0.5000 0.2205 0.0734 1
Zn5 Zn 0.0000 0.7205 0.4266 1
Zn6 Zn 0.0000 0.2795 0.4266 1
Zn7 Zn 0.2795 0.0000 0.5734 1
Zn8 Zn 0.7205 0.0000 0.5734 1
Pt1 Pt 0.5000 0.7604 0.7779 1
Pt2 Pt 0.5000 0.2396 0.7779 1
Pt3 Pt 0.7604 0.5000 0.2221 1
Pt4 Pt 0.2396 0.5000 0.2221 1
Pt5 Pt 0.2604 0.0000 0.2779 1
Pt6 Pt 0.7396 0.0000 0.2779 1
Pt7 Pt 0.0000 0.2604 0.7221 1
Pt8 Pt 0.0000 0.7396 0.7221 1
```



2.
## Sb4MoOs (PBE)

Data for a relaxed structure of Sb4MoOs.

Properties
The calculation puts the uncorrected formation energy at 150 kJ/mol of atoms.

```
data_Sb4MoOs
_space_group_name_H-M_alt 'P 1'
_space_group_IT_number 1
_space_group_name_Hall 'P 1'
_cell_length_a 5.9430
_cell_length_b 5.9430
_cell_length_c 5.9430
_cell_angle_alpha 60.00
_cell_angle_beta 60.00
_cell_angle_gamma 60.00
loop_
_atom_site_label
_atom_site_type_symbol
_atom_site_fract_x
_atom_site_fract_y
_atom_site_fract_z
_atom_site_occupancy
Sb1 Sb 0.8758 0.3747 0.3747 1
Sb2 Sb 0.3747 0.3747 0.8758 1
Sb3 Sb 0.3747 0.8758 0.3747 1
Sb4 Sb 0.3747 0.3747 0.3747 1
Mo1 Mo 0.7500 0.7500 0.7500 1
Os1 Os 0.0000 0.0000 0.0000 1
```